The following is a GGA-PBE calculation of an optimized crystal structure of LaPr3Al, from Alexandria via LeMat-Bulk.

- ΔE to the lowest computed polymorph (meV/atom) = 112
- energy relative to the elements (eV per atom) = -0.001
- VASP energy (eV per cell) = -92.0

```
data_LaPr3Al
_cell_length_a 10.5513
_cell_length_b 9.8463
_cell_length_c 6.5131
_cell_angle_alpha 90.00
_cell_angle_beta 90.00
_cell_angle_gamma 90.00
_space_group_name_H-M_alt 'A m a 2'
_space_group_IT_number 40
loop_
_space_group_symop_operation_xyz
'x,y,z'
'-x,-y,z'
'-x+1/2,y,z'
'x+1/2,-y,z'
'x,y+1/2,z+1/2'
'-x,-y+1/2,z+1/2'
'-x+1/2,y+1/2,z+1/2'
'x+1/2,-y+1/2,z+1/2'
loop_
_atom_site_label
_atom_site_type_symbol
_atom_site_fract_x
_atom_site_fract_y
_atom_site_fract_z
La1 La 0.2500 0.1338 0.0000
Pr1 Pr 0.0672 0.3070 0.6382
Pr2 Pr 0.2500 0.4926 0.9955
Al1 Al 0.0000 0.0000 0.7523
```